[1]
Below is a relaxed NaPm2Cu2S4 crystal, with properties calculated at the PBE-GGA level.

Geometry as POSCAR:
```
NaPm2Cu2S4
1.0
7.1889 -1.8569 0.0000
7.1889 1.8569 0.0000
-2.6700 0.0000 6.5038
Na Pm Cu S
1 2 2 4
Cartesian
0.0000 0.0000 0.0000 Na
0.3394 0.0000 3.6283 Pm
11.3684 0.0000 2.8755 Pm
1.8849 0.0000 6.4679 Cu
9.8229 0.0000 0.0359 Cu
2.4379 0.0000 1.5089 S
6.0714 0.0000 1.7300 S
5.6364 0.0000 4.7738 S
9.2699 0.0000 4.9949 S
```

Values from the calculation:
As for the magnetic moment: 0.0 μB/cell. For the formation energy from raw total energies, the calculation gives -117.5 kJ/mol of atoms. As for the symmetry: No. 12.



[2]
Below is a relaxed NaPmCu2Sb2 crystal, with properties calculated at the PBE-GGA level.

Geometry as POSCAR:
```
NaPmCu2Sb2
1.0
4.4578 0.0000 0.0000
-2.2289 3.8606 0.0000
0.0000 0.0000 8.3238
Na Pm Cu Sb
1 1 2 2
Cartesian
0.0000 0.0000 0.0000 Na
0.0000 0.0000 4.1619 Pm
0.0000 2.5737 6.0746 Cu
2.2289 1.2869 2.2492 Cu
0.0000 2.5737 2.1542 Sb
2.2289 1.2869 6.1696 Sb
```

Values from the calculation:
As for the magnetic moment: 0.0 μB/cell. For the formation energy from raw total energies, the calculation gives -51.2 kJ/mol of atoms. As for the symmetry: No. 164.



[3]
Below is a relaxed NaPm2CuSe4 crystal, with properties calculated at the PBE-GGA level.

Geometry as POSCAR:
```
NaPm2CuSe4
1.0
2.0727 -6.9439 0.0000
2.0727 6.9439 0.0000
0.0000 0.0000 14.5379
Na Pm Cu Se
2 4 2 8
Cartesian
2.0727 5.3381 10.9034 Na
2.0727 -5.3381 3.6345 Na
2.0727 1.8784 8.2466 Pm
2.0727 1.8784 13.5602 Pm
2.0727 -1.8784 0.9777 Pm
2.0727 -1.8784 6.2913 Pm
2.0727 4.8016 3.6345 Cu
2.0727 -4.8016 10.9034 Cu
0.0000 0.0000 0.0000 Se
0.0000 0.0000 7.2690 Se
2.0727 3.1712 1.7452 Se
2.0727 3.1712 5.5238 Se
2.0727 0.7280 10.9034 Se
2.0727 -0.7280 3.6345 Se
2.0727 -3.1712 9.0142 Se
2.0727 -3.1712 12.7927 Se
```

Values from the calculation:
As for the magnetic moment: 0.0 μB/cell. For the formation energy from raw total energies, the calculation gives -140.8 kJ/mol of atoms. As for the symmetry: No. 63.



[4]
Below is a relaxed NaPm2Cu2Se4 crystal, with properties calculated at the PBE-GGA level.

Geometry as POSCAR:
```
NaPm2Cu2Se4
1.0
7.4899 -1.9373 0.0000
7.4899 1.9373 0.0000
-2.9205 0.0000 6.7926
Na Pm Cu Se
1 2 2 4
Cartesian
0.0000 0.0000 0.0000 Na
0.2432 0.0000 3.8374 Pm
11.8162 0.0000 2.9552 Pm
1.7196 0.0000 6.7745 Cu
10.3398 0.0000 0.0181 Cu
2.4882 0.0000 1.5984 Se
6.3339 0.0000 1.7967 Se
5.7255 0.0000 4.9959 Se
9.5712 0.0000 5.1942 Se
```

Values from the calculation:
As for the magnetic moment: 0.0 μB/cell. For the formation energy from raw total energies, the calculation gives -107.9 kJ/mol of atoms. As for the symmetry: No. 12.



[5]
Below is a relaxed NaPrCu4 crystal, with properties calculated at the PBE-GGA level.

Geometry as POSCAR:
```
NaPrCu4
1.0
0.0000 3.7156 3.7156
3.7156 0.0000 3.7156
3.7156 3.7156 0.0000
Na Pr Cu
1 1 4
Cartesian
0.0000 0.0000 0.0000 Na
5.5734 5.5734 5.5734 Pr
2.7715 2.7715 2.7715 Cu
4.6598 4.6598 2.7715 Cu
4.6598 2.7715 4.6598 Cu
2.7715 4.6598 4.6598 Cu
```

Values from the calculation:
Its formation energy is -0.02 eV/atom. As for the magnetic moment: 0.0 μB/cell. As for the symmetry: No. 216.



[6]
Below is a relaxed Na2PrCu9 crystal, with properties calculated at the PBE-GGA level.

Geometry as POSCAR:
```
Na2PrCu9
1.0
2.5528 1.4739 8.4029
-2.5528 1.4739 8.4029
0.0000 -2.9478 8.4029
Na Pr Cu
2 1 9
Cartesian
0.0000 0.0000 3.6909 Na
0.0000 0.0000 21.5177 Na
0.0000 0.0000 0.0000 Pr
-1.2632 -0.7293 10.4647 Cu
0.0000 0.0000 8.3666 Cu
0.0000 -1.4587 14.7440 Cu
-1.2632 0.7293 14.7440 Cu
0.0000 0.0000 12.6043 Cu
1.2632 -0.7293 10.4647 Cu
0.0000 1.4587 10.4647 Cu
0.0000 0.0000 16.8421 Cu
1.2632 0.7293 14.7440 Cu
```

Values from the calculation:
Its formation energy is -0.03 eV/atom. As for the magnetic moment: 0.0 μB/cell. As for the symmetry: No. 166.



[7]
Below is a relaxed NaPrCuSn crystal, with properties calculated at the PBE-GGA level.

Geometry as POSCAR:
```
NaPrCuSn
1.0
0.0000 3.6851 3.6851
3.6851 0.0000 3.6851
3.6851 3.6851 0.0000
Na Pr Cu Sn
1 1 1 1
Cartesian
0.0000 0.0000 0.0000 Na
3.6851 3.6851 3.6851 Pr
5.5277 5.5277 5.5277 Cu
1.8426 1.8426 1.8426 Sn
```

Values from the calculation:
Its formation energy is -0.20 eV/atom. As for the magnetic moment: 0.0 μB/cell. As for the symmetry: No. 216.



[8]
Below is a relaxed NaPrZnCu crystal, with properties calculated at the PBE-GGA level.

Geometry as POSCAR:
```
NaPrZnCu
1.0
0.0000 3.5528 3.5528
3.5528 0.0000 3.5528
3.5528 3.5528 0.0000
Na Pr Zn Cu
1 1 1 1
Cartesian
0.0000 0.0000 0.0000 Na
3.5528 3.5528 3.5528 Pr
1.7764 1.7764 1.7764 Zn
5.3292 5.3292 5.3292 Cu
```

Values from the calculation:
Its formation energy is -0.01 eV/atom. As for the magnetic moment: 0.0 μB/cell. As for the symmetry: No. 216.